Entry 1:
Here is crystalline BeHg2S at its relaxed geometry from Alexandria. Energies are from PBE.

```
BeHg2S
1.0
-3.232 3.232 4.301
3.232 -3.232 4.301
3.232 3.232 -4.301
Be Hg S
2 4 2
direct
0.000 0.000 0.000
0.750 0.250 0.500
0.095 0.625 0.970
0.375 0.345 0.470
0.655 0.125 0.030
0.875 0.905 0.530
0.250 0.750 0.500
0.500 0.500 0.000
```

Calculated values
Uncorrected formation energy = 0.3072 eV/atom
SG = I-42d
E above lowest polymorph = 0 meV/atom

=====

Entry 2:
Here is crystalline Be2HgS at its relaxed geometry from Alexandria. Energies are from PBE.

```
Be2HgS
1.0
-2.839 2.839 4.129
2.839 -2.839 4.129
2.839 2.839 -4.129
Be Hg S
4 2 2
direct
0.066 0.625 0.941
0.375 0.316 0.441
0.684 0.125 0.059
0.875 0.934 0.559
0.250 0.750 0.500
0.500 0.500 0.000
0.000 0.000 0.000
0.750 0.250 0.500
```

Calculated values
Uncorrected formation energy = -0.0655 eV/atom
SG = I-42d
E above lowest polymorph = 0 meV/atom

=====

Entry 3:
Here is crystalline BeHgWS2 at its relaxed geometry from Alexandria. Energies are from PBE.

```
BeHgWS2
1.0
4.620 0.000 0.000
0.000 4.620 0.000
0.000 0.000 4.915
Be Hg W S
1 1 1 2
direct
0.000 0.000 0.000
0.500 0.500 0.000
0.000 0.000 0.500
0.000 0.500 0.500
0.500 0.000 0.500
```

Calculated values
Uncorrected formation energy = 0.3390 eV/atom
SG = P4/mmm

=====

Entry 4:
Here is crystalline Be2HgSb at its relaxed geometry from Alexandria. Energies are from PBE.

```
Be2HgSb
1.0
2.014 -2.507 0.000
2.014 2.507 0.000
0.000 0.000 7.222
Be Hg Sb
2 1 1
direct
0.000 0.000 0.000
0.500 0.500 0.133
0.500 0.500 0.776
0.000 0.000 0.360
```

Calculated values
Uncorrected formation energy = 0.5147 eV/atom
SG = Cmm2
E above lowest polymorph = 217 meV/atom

=====

Total energy for every record listed, in sequence, given in eV per atom: -1.81, -3.04, -4.71, -2.45.